No. 1
A plane-wave DFT calculation with GGA-PBE was carried out for a relaxed structure of GdYTiAl.

Computed properties:
DFT formation energy in meV/atom: -56.1
Energy in eV/cell: -129.627
Total magnetic moment in μB per formula unit: 9.66

Unit cell a=7.3096 b=7.3096 c=7.3096 alpha=90.00 beta=90.00 gamma=90.00
With the nearest neighbours (Å) after each atom.
Element x y z (fractional)
Gd 0.0000 0.0000 0.0000  4 Al 3.17, 4 Ti 3.17
Gd 0.0000 0.5000 0.5000  4 Al 3.17, 4 Ti 3.17
Gd 0.5000 0.0000 0.5000  4 Al 3.17, 4 Ti 3.17
Gd 0.5000 0.5000 0.0000  4 Al 3.17, 4 Ti 3.17
Y 0.0000 0.0000 0.5000  4 Al 3.17, 4 Ti 3.17
Y 0.0000 0.5000 0.0000  4 Ti 3.17, 4 Al 3.17
Y 0.5000 0.0000 0.0000  4 Ti 3.17, 4 Al 3.17
Y 0.5000 0.5000 0.5000  4 Al 3.17, 4 Ti 3.17
Ti 0.2500 0.2500 0.7500  4 Gd 3.17, 4 Y 3.17
Ti 0.2500 0.7500 0.2500  4 Gd 3.17, 4 Y 3.17
Ti 0.7500 0.2500 0.2500  4 Gd 3.17, 4 Y 3.17
Ti 0.7500 0.7500 0.7500  4 Y 3.17, 4 Gd 3.17
Al 0.2500 0.2500 0.2500  4 Gd 3.17, 4 Y 3.17
Al 0.2500 0.7500 0.7500  4 Gd 3.17, 4 Y 3.17
Al 0.7500 0.2500 0.7500  4 Gd 3.17, 4 Y 3.17
Al 0.7500 0.7500 0.2500  4 Gd 3.17, 4 Y 3.17


No. 2
A plane-wave DFT calculation with GGA-PBE was carried out for a relaxed structure of GdZrTiAl.

Computed properties:
DFT formation energy in meV/atom: -45.4
Energy in eV/cell: -137.792
Total magnetic moment in μB per formula unit: 4.88

Unit cell a=7.0560 b=7.0560 c=7.0560 alpha=90.00 beta=90.00 gamma=90.00
With the nearest neighbours (Å) after each atom.
Element x y z (fractional)
Gd 0.0000 0.0000 0.0000  4 Al 3.06, 4 Ti 3.06
Gd 0.0000 0.5000 0.5000  4 Al 3.06, 4 Ti 3.06
Gd 0.5000 0.0000 0.5000  4 Al 3.06, 4 Ti 3.06
Gd 0.5000 0.5000 0.0000  4 Al 3.06, 4 Ti 3.06
Zr 0.0000 0.0000 0.5000  4 Ti 3.06, 4 Al 3.06
Zr 0.0000 0.5000 0.0000  4 Ti 3.06, 4 Al 3.06
Zr 0.5000 0.0000 0.0000  4 Ti 3.06, 4 Al 3.06
Zr 0.5000 0.5000 0.5000  4 Ti 3.06, 4 Al 3.06
Ti 0.2500 0.2500 0.7500  4 Zr 3.06, 4 Gd 3.06
Ti 0.2500 0.7500 0.2500  4 Zr 3.06, 4 Gd 3.06
Ti 0.7500 0.2500 0.2500  4 Zr 3.06, 4 Gd 3.06
Ti 0.7500 0.7500 0.7500  4 Zr 3.06, 4 Gd 3.06
Al 0.2500 0.2500 0.2500  4 Zr 3.06, 4 Gd 3.06
Al 0.2500 0.7500 0.7500  4 Zr 3.06, 4 Gd 3.06
Al 0.7500 0.2500 0.7500  4 Zr 3.06, 4 Gd 3.06
Al 0.7500 0.7500 0.2500  4 Zr 3.06, 4 Gd 3.06


No. 3
A plane-wave DFT calculation with GGA-PBE was carried out for a relaxed structure of GdAlTl.

Computed properties:
DFT formation energy in meV/atom: -287.6
Energy in eV/cell: -21.052
Total magnetic moment in μB per formula unit: 7.06

Unit cell a=4.8165 b=4.8165 c=3.5862 alpha=90.00 beta=90.00 gamma=120.00
With the nearest neighbours (Å) after each atom.
Element x y z (fractional)
Gd 0.0000 0.0000 0.0000  6 Tl 3.31, 6 Al 3.31, 2 Gd 3.59
Al 0.6667 0.3333 0.4984  3 Tl 2.78
Tl 0.3333 0.6667 0.5019  3 Al 2.78


No. 4
A plane-wave DFT calculation with GGA-PBE was carried out for a relaxed structure of GdYAlTl.

Computed properties:
DFT formation energy in meV/atom: -357.2
Energy in eV/cell: -112.330
Total magnetic moment in μB per formula unit: 7.19

Unit cell a=7.4555 b=7.4555 c=7.4555 alpha=90.00 beta=90.00 gamma=90.00
With the nearest neighbours (Å) after each atom.
Element x y z (fractional)
Gd 0.0000 0.0000 0.0000  4 Tl 3.23, 4 Al 3.23
Gd 0.0000 0.5000 0.5000  4 Tl 3.23, 4 Al 3.23
Gd 0.5000 0.0000 0.5000  4 Tl 3.23, 4 Al 3.23
Gd 0.5000 0.5000 0.0000  4 Tl 3.23, 4 Al 3.23
Y 0.0000 0.0000 0.5000  4 Al 3.23, 4 Tl 3.23
Y 0.0000 0.5000 0.0000  4 Al 3.23, 4 Tl 3.23
Y 0.5000 0.0000 0.0000  4 Al 3.23, 4 Tl 3.23
Y 0.5000 0.5000 0.5000  4 Al 3.23, 4 Tl 3.23
Al 0.2500 0.2500 0.7500  4 Gd 3.23, 4 Y 3.23
Al 0.2500 0.7500 0.2500  4 Gd 3.23, 4 Y 3.23
Al 0.7500 0.2500 0.2500  4 Gd 3.23, 4 Y 3.23
Al 0.7500 0.7500 0.7500  4 Gd 3.23, 4 Y 3.23
Tl 0.2500 0.2500 0.2500  4 Y 3.23, 4 Gd 3.23
Tl 0.2500 0.7500 0.7500  4 Gd 3.23, 4 Y 3.23
Tl 0.7500 0.2500 0.7500  4 Gd 3.23, 4 Y 3.23
Tl 0.7500 0.7500 0.2500  4 Gd 3.23, 4 Y 3.23


No. 5
A plane-wave DFT calculation with GGA-PBE was carried out for a relaxed structure of GdTm2Al.

Computed properties:
Distance to the lowest polymorph of the same formula in meV per atom: 0
DFT formation energy in meV/atom: -193.8
Energy in eV/cell: -27.542
Total magnetic moment in μB per formula unit: 7.59

Unit cell a=3.4947 b=3.4947 c=8.8852 alpha=90.00 beta=90.00 gamma=90.00
With the nearest neighbours (Å) after each atom.
Element x y z (fractional)
Gd 0.0000 0.0000 0.0000  4 Gd 3.49, 8 Tm 3.56
Tm 0.5000 0.5000 0.2890  4 Al 3.10
Tm 0.5000 0.5000 0.7110  4 Al 3.10
Al 0.0000 0.0000 0.5000  8 Tm 3.10


No. 6
A plane-wave DFT calculation with GGA-PBE was carried out for a relaxed structure of GdTm2Al.

Computed properties:
Distance to the lowest polymorph of the same formula in meV per atom: 153
DFT formation energy in meV/atom: -40.5
Energy in eV/cell: -107.714
Total magnetic moment in μB per formula unit: 8.01

Unit cell a=7.4937 b=7.4937 c=7.4937 alpha=90.00 beta=90.00 gamma=90.00
With the nearest neighbours (Å) after each atom.
Element x y z (fractional)
Gd 0.0000 0.0000 0.0000  8 Tm 3.24
Gd 0.0000 0.5000 0.5000  8 Tm 3.24
Gd 0.5000 0.0000 0.5000  8 Tm 3.24
Gd 0.5000 0.5000 0.0000  8 Tm 3.24
Tm 0.2500 0.2500 0.2500  4 Gd 3.24, 4 Al 3.24
Tm 0.2500 0.2500 0.7500  4 Gd 3.24, 4 Al 3.24
Tm 0.2500 0.7500 0.2500  4 Gd 3.24, 4 Al 3.24
Tm 0.2500 0.7500 0.7500  4 Gd 3.24, 4 Al 3.24
Tm 0.7500 0.2500 0.2500  4 Gd 3.24, 4 Al 3.24
Tm 0.7500 0.2500 0.7500  4 Gd 3.24, 4 Al 3.24
Tm 0.7500 0.7500 0.2500  4 Gd 3.24, 4 Al 3.24
Tm 0.7500 0.7500 0.7500  4 Al 3.24, 4 Gd 3.24
Al 0.0000 0.0000 0.5000  8 Tm 3.24
Al 0.0000 0.5000 0.0000  8 Tm 3.24
Al 0.5000 0.0000 0.0000  8 Tm 3.24
Al 0.5000 0.5000 0.5000  8 Tm 3.24